LaPa2CrC4 | GGA-PBE | relaxed

Structure (extended XYZ):
```
16
Lattice="3.5908 0.0000 0.0000 -1.7954 5.9539 0.0000 0.0000 0.0000 12.1202" Properties=species:S:1:pos:R:3 pbc="T T T"
La 0.0000 1.2005 9.0902
La 1.7954 4.7533 3.0301
Pa 0.0000 4.3759 6.6400
Pa 1.7954 1.5780 0.5799
Pa 1.7954 1.5780 5.4802
Pa 0.0000 4.3759 11.5403
Cr 1.7954 3.9653 9.0902
Cr 0.0000 1.9886 3.0301
C 0.0000 3.0705 1.5129
C 1.7954 2.8834 7.5730
C 1.7954 2.8834 10.6073
C 0.0000 3.0705 4.5472
C 0.0000 0.0000 6.0601
C 0.0000 0.0000 0.0000
C 0.0000 4.8083 9.0902
C 1.7954 1.1455 3.0301
```

## Properties
N(E_F): 0.8055 states/eV per atom
Space-group type: Cmcm
Electronic total energy: -9.0070 eV/atom
Total magnetic moment: 2.4 Bohr magnetons per cell